# 1
Crystalline YWC2 at its relaxed geometry, computed with GGA-PBE.

Lattice parameters (Å, degrees): 4.1065 4.1065 4.1065 60.00 60.00 60.00
Fractional positions:
1 Y 0.0000 0.0000 0.0000
2 W 0.5000 0.5000 0.5000
3 C 0.2500 0.2500 0.2500
4 C 0.7500 0.7500 0.7500

## Properties
Space-group type: Fm-3m (225)
E above lowest polymorph: 5.13 eV per formula unit

=====

# 2
Crystalline YWC3 at its relaxed geometry, computed with GGA-PBE.

Lattice parameters (Å, degrees): 4.1840 4.1840 4.1840 90.00 90.00 90.00
Fractional positions:
1 Y 0.0000 0.0000 0.0000
2 W 0.5000 0.5000 0.5000
3 C 0.0000 0.0000 0.5000
4 C 0.0000 0.5000 0.0000
5 C 0.5000 0.0000 0.0000

## Properties
Space-group type: Pm-3m (221)
E above lowest polymorph: 12.43 eV per formula unit

=====

# 3
Crystalline YWC2 at its relaxed geometry, computed with GGA-PBE.

Lattice parameters (Å, degrees): 5.8616 5.8616 5.8616 32.08 32.08 32.08
Fractional positions:
1 Y 0.0000 0.0000 0.0000
2 W 0.5000 0.5000 0.5000
3 C 0.2377 0.2377 0.2377
4 C 0.7623 0.7623 0.7623

## Properties
Space-group type: R-3m (166)
E above lowest polymorph: 0.47 eV per formula unit